Run 1
# RuSeS3

Crystalline RuSeS3 at its relaxed geometry (PBE, the Alexandria database).

Cell: 4.592 4.592 4.592 Å, 90.00 90.00 90.00°
Fractional positions:
S 0.000 0.000 0.500
Ru 0.000 0.000 0.000
S 0.000 0.500 0.000
S 0.500 0.000 0.000
Se 0.500 0.500 0.500

Calculated values
Fermi-level density of states: 7.30 states/eV per cell
Density: 4.7 g/cm3

Run 2
# RuSeS3

Crystalline RuSeS3 at its relaxed geometry (PBE, the Alexandria database).

Cell: 4.722 4.722 4.722 Å, 90.00 90.00 90.00°
Site moments in Bohr magnetons follow the coordinates.
Fractional positions:
S 0.000 0.000 0.500  0.17
S 0.000 0.500 0.000  0.23
Se 0.000 0.000 0.000  -0.03
Ru 0.500 0.500 0.500  3.01
S 0.500 0.000 0.000  0.13

Calculated values
Fermi-level density of states: 6.85 states/eV per cell
Density: 4.4 g/cm3

Relative energies with respect to the most stable structure, expressed in meV per atom: run 1 0; run 2 698.

Run 1
# Sn3RuS

Crystalline Sn3RuS at its relaxed geometry (PBE, the Alexandria database).

Cell: 5.070 5.070 5.070 Å, 90.00 90.00 90.00°
Site moments in Bohr magnetons follow the coordinates.
Fractional positions:
S 0.000 0.000 0.000  0.00
Ru 0.500 0.500 0.500  1.88
Sn 0.500 0.000 0.000  0.01
Sn 0.000 0.000 0.500  -0.04
Sn 0.000 0.500 0.000  -0.03

Calculated values
Fermi-level density of states: 7.54 states/eV per cell
Density: 6.2 g/cm3

Run 2
# Sn3RuS

Crystalline Sn3RuS at its relaxed geometry (PBE, the Alexandria database).

Cell: 5.163 5.163 5.163 Å, 90.00 90.00 90.00°
Fractional positions:
Sn 0.500 0.000 0.000
Sn 0.000 0.000 0.500
Sn 0.000 0.500 0.000
Ru 0.000 0.000 0.000
S 0.500 0.500 0.500

Calculated values
Fermi-level density of states: 0.00 states/eV per cell
Density: 5.9 g/cm3

Relative energies with respect to the most stable structure, expressed in meV per atom: run 1 1001; run 2 0.